! PBE-GGA Hf7Te2Pb2, optimized geometry; values from VASP
! Space-group type: C2/m, No. 12
! Spin magnetization, μB/f.u.: 0.000
! Raw formation energy, eV per atom: 0.034
&SYSTEM
  ibrav = 0, nat = 11, ntyp = 3
/
ATOMIC_SPECIES
Hf 178.49 Hf.upf
Te 127.60 Te.upf
Pb 207.20 Pb.upf
CELL_PARAMETERS angstrom
3.0772 -5.3651 0.0000
3.0772 5.3651 0.0000
-0.6141 0.0000 8.2631
ATOMIC_POSITIONS crystal
Hf 0.0000 0.0000 0.0000
Hf 0.1189 0.6063 0.8468
Hf 0.2645 0.2645 0.3460
Hf 0.3937 0.8811 0.1532
Hf 0.6063 0.1189 0.8468
Hf 0.7355 0.7355 0.6540
Hf 0.8811 0.3937 0.1532
Te 0.2584 0.2584 0.7168
Te 0.7416 0.7416 0.2832
Pb 0.2404 0.7596 0.5000
Pb 0.7596 0.2404 0.5000

! PBE-GGA Hf3TePb, optimized geometry; values from VASP
! Space-group type: P2_1/c, No. 14
! Spin magnetization, μB/f.u.: 0.000
! Raw formation energy, eV per atom: -0.154
! Polymorph energy (0 for the lowest one), eV/f.u.: 0.00
&SYSTEM
  ibrav = 0, nat = 20, ntyp = 3
/
ATOMIC_SPECIES
Hf 178.49 Hf.upf
Te 127.60 Te.upf
Pb 207.20 Pb.upf
CELL_PARAMETERS angstrom
7.9912 0.0000 0.0000
0.0000 5.8944 0.0000
-2.9233 0.0000 9.9084
ATOMIC_POSITIONS crystal
Hf 0.0306 0.1290 0.2878
Hf 0.0306 0.3710 0.7878
Hf 0.1754 0.6324 0.5142
Hf 0.1754 0.8676 0.0142
Hf 0.4084 0.1784 0.8987
Hf 0.4084 0.3216 0.3987
Hf 0.5916 0.6784 0.6013
Hf 0.5916 0.8216 0.1013
Hf 0.8246 0.1324 0.9858
Hf 0.8246 0.3676 0.4858
Hf 0.9694 0.6290 0.2122
Hf 0.9694 0.8710 0.7122
Te 0.3480 0.6738 0.8104
Te 0.3480 0.8262 0.3104
Te 0.6520 0.1738 0.6896
Te 0.6520 0.3262 0.1896
Pb 0.2019 0.1446 0.5904
Pb 0.2019 0.3554 0.0904
Pb 0.7981 0.6446 0.9096
Pb 0.7981 0.8554 0.4096